Material: RbMnAsSe2
Method: DFT, PBE
State: relaxed

abc: 5.796 5.796 5.599
angles: 90.00 90.00 90.00
Fractional positions:
As 0.000 0.000 0.500
Mn 0.500 0.500 0.500
Se 0.000 0.500 0.000
Se 0.500 0.000 0.000
Rb 0.000 0.000 0.000

Results
Polymorph energy (0 for the lowest one) in meV/atom: 1712
Spin magnetization in Bohr magnetons per cell: 3.9
Energy relative to the elements, uncorrected in eV/f.u.: 7.33
E in eV/atom: -2.885